[1]
DFT (PBE) results for a relaxed SrIn3Mo crystal.

extended XYZ file:
```
5
Lattice="-2.177 -1.377 -4.635 3.739 -3.703 -0.656 -3.067 -3.537 2.491" Properties=species:S:1:pos:R:3 pbc="T T T"
Sr -0.752 -4.309 -1.400
In -1.533 -1.768 1.245
In 1.869 -1.852 -0.328
In -1.088 -0.689 -2.318
Mo 0.000 0.000 0.000
```

Properties
E_form = 44.4 meV per atom
ΔE to the lowest computed polymorph = 0.0 kJ per mole of atoms
crystal system = cubic

***

[2]
DFT (PBE) results for a relaxed SrIn2Mo crystal.

extended XYZ file:
```
4
Lattice="3.097 0.000 0.000 0.000 6.034 0.020 0.000 3.660 5.197" Properties=species:S:1:pos:R:3 pbc="T T T"
In 1.549 3.017 0.010
In 0.000 0.000 0.000
Mo 1.549 4.847 2.609
Sr 0.000 1.830 2.598
```

Properties
E_form = 551.5 meV per atom
ΔE to the lowest computed polymorph = 35.1 kJ per mole of atoms
crystal system = monoclinic

***

[3]
DFT (PBE) results for a relaxed SrIn2Mo crystal.

extended XYZ file:
```
4
Lattice="4.692 0.000 0.000 0.000 4.694 0.000 0.000 0.000 4.635" Properties=species:S:1:pos:R:3 pbc="T T T"
In 2.346 2.347 0.000
In 0.000 0.000 0.000
Mo 2.346 0.000 2.318
Sr 0.000 2.347 2.318
```

Properties
E_form = 460.9 meV per atom
ΔE to the lowest computed polymorph = 26.4 kJ per mole of atoms
crystal system = tetragonal

***

[4]
DFT (PBE) results for a relaxed SrIn2Mo crystal.

extended XYZ file:
```
4
Lattice="-0.631 -5.269 0.446 2.352 -3.268 -3.485 4.083 -3.049 1.546" Properties=species:S:1:pos:R:3 pbc="T T T"
In 1.451 -2.897 -0.373
In 0.000 0.000 0.000
Mo 2.902 -5.793 -0.747
Sr 4.353 -8.690 -1.120
```

Properties
E_form = 619.0 meV per atom
ΔE to the lowest computed polymorph = 41.6 kJ per mole of atoms
crystal system = cubic

***

[5]
DFT (PBE) results for a relaxed SrInMo crystal.

extended XYZ file:
```
3
Lattice="-5.633 -0.857 5.270 -3.632 -3.030 6.153 0.996 1.839 2.266" Properties=species:S:1:pos:R:3 pbc="T T T"
In 0.825 1.744 2.419
Mo -5.721 -1.910 8.261
Sr -2.377 -0.043 5.276
```

Properties
E_form = 582.4 meV per atom
ΔE to the lowest computed polymorph = 1.9 kJ per mole of atoms
crystal system = tetragonal

***

[6]
DFT (PBE) results for a relaxed SrIn2Mo crystal.

extended XYZ file:
```
4
Lattice="3.761 0.000 0.000 0.000 3.507 -0.008 0.000 3.526 7.343" Properties=species:S:1:pos:R:3 pbc="T T T"
In 0.000 3.513 3.270
In 0.000 3.510 0.389
Sr 1.880 5.274 5.501
Mo 1.880 1.758 1.834
```

Properties
E_form = 187.4 meV per atom
ΔE to the lowest computed polymorph = 0.0 kJ per mole of atoms
crystal system = orthorhombic

***

[7]
DFT (PBE) results for a relaxed Sr2InMo2 crystal.

extended XYZ file:
```
5
Lattice="-0.087 -1.655 4.535 4.795 0.495 0.273 1.566 5.774 4.708" Properties=species:S:1:pos:R:3 pbc="T T T"
In 0.000 0.000 0.000
Mo 4.037 4.248 6.769
Mo 2.237 0.366 2.747
Sr 1.916 1.769 5.823
Sr 4.358 2.845 3.692
```

Properties
E_form = 1138.5 meV per atom
ΔE to the lowest computed polymorph = 60.4 kJ per mole of atoms
crystal system = tetragonal

***

[8]
DFT (PBE) results for a relaxed SrIn4Mo crystal.

extended XYZ file:
```
6
Lattice="0.000 4.162 4.162 4.162 0.000 4.162 4.162 4.162 0.000" Properties=species:S:1:pos:R:3 pbc="T T T"
In 3.126 3.126 3.126
In 5.197 5.197 3.126
In 5.197 3.126 5.197
In 3.126 5.197 5.197
Sr 0.000 0.000 0.000
Mo 6.242 6.242 6.242
```

Properties
E_form = 306.5 meV per atom
crystal system = cubic